! TiOs2PbI PBE optimized geometry; values from VASP
&SYSTEM
  ibrav = 0, nat = 5, ntyp = 4
/
ATOMIC_SPECIES
Ti 47.87 Ti.upf
Os 190.23 Os.upf
Pb 207.20 Pb.upf
I 126.90 I.upf
ATOMIC_POSITIONS angstrom
Ti 0.0000 0.0000 0.0000
Os 0.0000 2.4423 2.4790
Os 2.4423 0.0000 2.4790
Pb 2.4423 2.4423 0.0000
I 0.0000 0.0000 2.4790
CELL_PARAMETERS angstrom
4.8846 0.0000 0.0000
0.0000 4.8846 0.0000
0.0000 0.0000 4.9580
! Formation energy without anion corrections   1845 meV/atom

=====

! PmZrCuSi PBE optimized geometry; values from VASP
&SYSTEM
  ibrav = 0, nat = 4, ntyp = 4
/
ATOMIC_SPECIES
Pm 145.00 Pm.upf
Zr 91.22 Zr.upf
Cu 63.55 Cu.upf
Si 28.09 Si.upf
ATOMIC_POSITIONS angstrom
Pm 0.0000 0.0000 0.0000
Zr 3.4291 3.4291 3.4291
Cu 1.7145 1.7145 1.7145
Si 5.1436 5.1436 5.1436
CELL_PARAMETERS angstrom
0.0000 3.4291 3.4291
3.4291 0.0000 3.4291
3.4291 3.4291 0.0000
! Formation energy without anion corrections   -283 meV/atom

=====

! Sm6Cd23 PBE optimized geometry; values from VASP
&SYSTEM
  ibrav = 0, nat = 29, ntyp = 2
/
ATOMIC_SPECIES
Sm 150.36 Sm.upf
Cd 112.41 Cd.upf
ATOMIC_POSITIONS angstrom
Sm 7.0476 7.0476 2.8812
Sm 7.0476 2.8812 7.0476
Sm 11.2141 7.0476 7.0476
Sm 2.8812 7.0476 7.0476
Sm 7.0476 11.2141 7.0476
Sm 7.0476 7.0476 11.2141
Cd 3.5238 3.5238 0.0000
Cd 3.5238 0.0000 3.5238
Cd 7.0476 3.5238 3.5238
Cd 8.7599 5.3354 5.3354
Cd 2.3118 2.3118 2.3118
Cd 4.7358 4.7358 2.3118
Cd 4.7358 2.3118 4.7358
Cd 5.3354 5.3354 5.3354
Cd 8.7599 8.7599 5.3354
Cd 8.7599 5.3354 8.7599
Cd 11.7834 9.3594 9.3594
Cd 0.0000 3.5238 3.5238
Cd 3.5238 7.0476 3.5238
Cd 3.5238 3.5238 7.0476
Cd 7.0476 7.0476 7.0476
Cd 2.3118 4.7358 4.7358
Cd 5.3354 8.7599 5.3354
Cd 5.3354 5.3354 8.7599
Cd 8.7599 8.7599 8.7599
Cd 9.3594 11.7834 9.3594
Cd 9.3594 9.3594 11.7834
Cd 11.7834 11.7834 11.7834
Cd 5.3354 8.7599 8.7599
CELL_PARAMETERS angstrom
0.0000 7.0476 7.0476
7.0476 0.0000 7.0476
7.0476 7.0476 0.0000
! Formation energy from the elements   -228 meV/atom

=====

! RbY2TiBi PBE optimized geometry; values from VASP
&SYSTEM
  ibrav = 0, nat = 5, ntyp = 4
/
ATOMIC_SPECIES
Rb 85.47 Rb.upf
Y 88.91 Y.upf
Ti 47.87 Ti.upf
Bi 208.98 Bi.upf
ATOMIC_POSITIONS angstrom
Rb 0.0000 0.0000 0.0000
Y 0.0000 2.6574 0.0000
Y 2.6574 0.0000 0.0000
Ti 2.6574 2.6574 2.9717
Bi 0.0000 0.0000 2.9717
CELL_PARAMETERS angstrom
5.3148 0.0000 0.0000
0.0000 5.3148 0.0000
0.0000 0.0000 5.9435
! Formation energy from the elements   1637 meV/atom

=====

Number 1: DFT total energy -5.277 eV/atom. Number 2: DFT total energy -5.988 eV/atom. Number 3: DFT total energy -1.930 eV/atom. Number 4: DFT total energy -3.497 eV/atom.